First-principles (GGA-PBE) data for a relaxed Mn5Br12Cl3 crystal, as listed in Alexandria.

Values from the calculation:
The size of the total moment is 159.737 μB per cell. The density of states at the Fermi level comes out at 113.00 states/eV/cell. The calculation puts the density at 3.65 g/cm³. Its uncorrected formation energy is -8.5 kcal/mol of atoms.

abc: 16.964 16.964 16.964
angles: 90.00 90.00 90.00
Space group Ia-3d (No. 230)
Unique sites:
Mn: 0.000 0.000 0.000
Mn: 0.000 0.250 0.375
Br: 0.029 0.038 0.648
Cl: 0.000 0.250 0.125

---

First-principles (GGA-PBE) data for a relaxed Mn3BrCl7 crystal, as listed in Alexandria.

Values from the calculation:
The size of the total moment is 13.000 μB per cell. The density of states at the Fermi level comes out at 6.29 states/eV/cell. The calculation puts the density at 2.69 g/cm³. Its uncorrected formation energy is -21.6 kcal/mol of atoms.

abc: 7.2613 7.2613 6.6526
angles: 90.00 90.00 120.00
Space group P3m1 (No. 156)
Unique sites:
Mn: 0.1677 0.3354 0.0000
Br: 0.0000 0.0000 0.7385
Cl: 0.0248 0.5124 0.8105
Cl: 0.3081 0.1541 0.1868
Cl: 0.3333 0.6667 0.2322

---

First-principles (GGA-PBE) data for a relaxed MnBrCl2 crystal, as listed in Alexandria.

Values from the calculation:
The energy relative to the lowest polymorph listed for this composition is 78 meV per atom. The size of the total moment is 4.000 μB per cell. The density of states at the Fermi level comes out at 2.86 states/eV/cell. The calculation puts the density at 2.68 g/cm³. Its uncorrected formation energy is -17.4 kcal/mol of atoms.

abc: 6.107 3.452 6.388
angles: 90.00 108.59 90.00
Space group Pm (No. 6)
Unique sites:
Mn: 0.000 0.000 0.000
Br: 0.228 0.500 0.879
Cl: 0.670 0.000 0.725
Cl: 0.942 0.500 0.230

---

First-principles (GGA-PBE) data for a relaxed Mn2BrCl crystal, as listed in Alexandria.

Values from the calculation:
The energy relative to the lowest polymorph listed for this composition is 355 meV per atom. The size of the total moment is 8.259 μB per cell. The density of states at the Fermi level comes out at 1.35 states/eV/cell. The calculation puts the density at 4.57 g/cm³. Its uncorrected formation energy is 2.5 kcal/mol of atoms.

abc: 3.311 4.097 6.039
angles: 90.00 90.00 90.00
Space group Pmmm (No. 47)
Unique sites:
Mn: 0.000 0.000 0.000
Mn: 0.500 0.000 0.500
Br: 0.000 0.500 0.500
Cl: 0.500 0.500 0.000